A PBEsol-optimized structure of BaLaTc2, computed with meta-GGA SCAN.

```
4
Lattice="3.2854 0.0000 0.0000 0.0000 4.6999 0.0000 -1.1879 0.0000 6.8729" Properties=species:S:1:pos:R:3 pbc="T T T"
Ba 0.0000 0.0000 0.0000
La 1.0487 0.0000 3.4365
Tc -0.0365 2.3499 4.4205
Tc 2.1340 2.3499 2.4524
```

Total magnetic moment = 0.00 Bohr magnetons per cell
Volume = 26.5 Å³/atom
Energy of formation = 14.469 kcal/mol of atoms
Uncorrected energy = -37.566 eV per atom
DOS at the Fermi energy = 0.91 states/eV per atom

=====

A PBEsol-optimized structure of BaLaTc2, computed with meta-GGA SCAN.

```
4
Lattice="4.0094 0.0000 0.0000 0.0000 4.0094 0.0000 0.0000 0.0000 7.0051" Properties=species:S:1:pos:R:3 pbc="T T T"
Ba 0.0000 0.0000 0.0000
La 0.0000 0.0000 3.5025
Tc 2.0047 2.0047 2.4174
Tc 2.0047 2.0047 4.5876
```

Total magnetic moment = 0.00 Bohr magnetons per cell
Volume = 28.2 Å³/atom
Energy of formation = 13.665 kcal/mol of atoms
Uncorrected energy = -37.601 eV per atom
DOS at the Fermi energy = 0.54 states/eV per atom

=====

A PBEsol-optimized structure of BaLa3Tc, computed with meta-GGA SCAN.

```
5
Lattice="5.6161 0.0000 0.0000 0.0000 5.6161 0.0000 0.0000 0.0000 5.6161" Properties=species:S:1:pos:R:3 pbc="T T T"
Ba 0.0000 0.0000 0.0000
La 0.0000 2.8080 2.8080
La 2.8080 0.0000 2.8080
La 2.8080 2.8080 0.0000
Tc 2.8080 2.8080 2.8080
```

Total magnetic moment = 0.00 Bohr magnetons per cell
Volume = 35.4 Å³/atom
Energy of formation = 0.683 kcal/mol of atoms
Uncorrected energy = -40.755 eV per atom
DOS at the Fermi energy = 0.55 states/eV per atom

=====

A PBEsol-optimized structure of BaLa2Tc, computed with meta-GGA SCAN.

```
4
Lattice="0.0000 3.7566 3.7566 3.7566 0.0000 3.7566 3.7566 3.7566 0.0000" Properties=species:S:1:pos:R:3 pbc="T T T"
Ba 0.0000 0.0000 0.0000
La 3.7566 3.7566 3.7566
La 5.6349 5.6349 5.6349
Tc 1.8783 1.8783 1.8783
```

Total magnetic moment = 0.00 Bohr magnetons per cell
Volume = 26.5 Å³/atom
Energy of formation = 14.838 kcal/mol of atoms
Uncorrected energy = -39.562 eV per atom
DOS at the Fermi energy = 1.06 states/eV per atom

=====

A PBEsol-optimized structure of BaLaTc2, computed with meta-GGA SCAN.

```
4
Lattice="3.4499 0.0000 0.0000 0.0000 3.4499 0.0000 0.0000 0.0000 9.2365" Properties=species:S:1:pos:R:3 pbc="T T T"
Ba 0.0000 0.0000 0.0000
La 1.7250 1.7250 3.7236
Tc 0.0000 0.0000 6.0397
Tc 1.7250 1.7250 6.4987
```

Total magnetic moment = 0.00 Bohr magnetons per cell
Volume = 27.5 Å³/atom
Energy of formation = 8.992 kcal/mol of atoms
Uncorrected energy = -37.804 eV per atom
DOS at the Fermi energy = 1.02 states/eV per atom

=====

A PBEsol-optimized structure of BaLaTe2, computed with meta-GGA SCAN.

```
4
Lattice="2.3324 1.3466 10.0462 -2.3324 1.3466 10.0462 0.0000 -2.6933 10.0462" Properties=species:S:1:pos:R:3 pbc="T T T"
Ba 0.0000 0.0000 0.0000
La 0.0000 0.0000 15.0693
Te 0.0000 0.0000 3.3095
Te 0.0000 0.0000 26.8290
```

Formation energy without anion corrections = -1420 meV/atom
Total magnetic moment = 0.64 Bohr magnetons per cell
Volume = 47.3 Å³/atom
Uncorrected energy = -40.710 eV per atom
DOS at the Fermi energy = 0.20 states/eV per atom

=====

A PBEsol-optimized structure of BaLaTe2, computed with meta-GGA SCAN.

```
4
Lattice="4.6954 0.0000 0.0000 0.0000 4.6954 0.0000 0.0000 0.0000 6.6284" Properties=species:S:1:pos:R:3 pbc="T T T"
Ba 0.0000 0.0000 0.0000
La 2.3477 2.3477 3.3142
Te 0.0000 0.0000 3.3142
Te 2.3477 2.3477 0.0000
```

Formation energy without anion corrections = -1790 meV/atom
Total magnetic moment = 0.00 Bohr magnetons per cell
Volume = 36.5 Å³/atom
Uncorrected energy = -41.079 eV per atom
DOS at the Fermi energy = 0.38 states/eV per atom

=====

A PBEsol-optimized structure of BaLaTe2, computed with meta-GGA SCAN.

```
4
Lattice="2.3271 1.3436 7.8030 -2.3271 1.3436 7.8030 0.0000 -2.6872 7.8030" Properties=species:S:1:pos:R:3 pbc="T T T"
Ba 0.0000 0.0000 0.0000
La 0.0000 0.0000 11.7045
Te 0.0000 0.0000 5.6872
Te 0.0000 0.0000 17.7219
```

Formation energy without anion corrections = -1846 meV/atom
Total magnetic moment = 0.00 Bohr magnetons per cell
Volume = 36.6 Å³/atom
Uncorrected energy = -41.135 eV per atom
DOS at the Fermi energy = 0.43 states/eV per atom

=====

A PBEsol-optimized structure of BaLaTl2, computed with meta-GGA SCAN.

```
4
Lattice="-2.4163 2.4163 5.4309 2.4163 -2.4163 5.4309 2.4163 2.4163 -5.4309" Properties=species:S:1:pos:R:3 pbc="T T T"
Ba 0.0000 0.0000 0.0000
La 0.0000 2.4163 2.7155
Tl 2.4163 0.0000 2.7155
Tl 0.0000 0.0000 5.4309
```

Total magnetic moment = 0.00 Bohr magnetons per cell
Volume = 31.7 Å³/atom
Energy of formation = -9.006 kcal/mol of atoms
Uncorrected energy = -57.233 eV per atom
DOS at the Fermi energy = 1.03 states/eV per atom

=====

A PBEsol-optimized structure of BaLaTl2, computed with meta-GGA SCAN.

```
4
Lattice="4.3865 0.0000 0.0000 0.0000 4.3865 0.0000 0.0000 0.0000 7.2124" Properties=species:S:1:pos:R:3 pbc="T T T"
Ba 0.0000 0.0000 0.0000
La 2.1933 2.1933 2.4305
Tl 0.0000 0.0000 3.7057
Tl 2.1933 2.1933 5.5599
```

Total magnetic moment = 0.00 Bohr magnetons per cell
Volume = 34.7 Å³/atom
Energy of formation = -5.787 kcal/mol of atoms
Uncorrected energy = -57.094 eV per atom
DOS at the Fermi energy = 1.08 states/eV per atom

=====

A PBEsol-optimized structure of BaLaTl2, computed with meta-GGA SCAN.

```
4
Lattice="4.0393 0.0000 0.0000 0.0000 4.0393 0.0000 0.0000 0.0000 8.1630" Properties=species:S:1:pos:R:3 pbc="T T T"
Ba 0.0000 0.0000 0.0000
La 0.0000 0.0000 4.0815
Tl 2.0197 2.0197 2.2839
Tl 2.0197 2.0197 5.8791
```

Total magnetic moment = 0.00 Bohr magnetons per cell
Volume = 33.3 Å³/atom
Energy of formation = -14.322 kcal/mol of atoms
Uncorrected energy = -57.464 eV per atom
DOS at the Fermi energy = 0.63 states/eV per atom

=====

A PBEsol-optimized structure of BaLaTl, computed with meta-GGA SCAN.

```
3
Lattice="0.0000 3.8012 3.8012 3.8012 0.0000 3.8012 3.8012 3.8012 0.0000" Properties=species:S:1:pos:R:3 pbc="T T T"
Ba 0.0000 0.0000 0.0000
La 5.7018 5.7018 5.7018
Tl 3.8012 3.8012 3.8012
```

Total magnetic moment = 0.00 Bohr magnetons per cell
Volume = 36.6 Å³/atom
Energy of formation = -2.074 kcal/mol of atoms
Uncorrected energy = -51.761 eV per atom
DOS at the Fermi energy = 0.17 states/eV per atom

=====

A PBEsol-optimized structure of BaLaTl, computed with meta-GGA SCAN.

```
12
Lattice="8.7616 0.0000 0.0000 0.0000 5.4119 0.0000 0.0000 0.0000 9.4797" Properties=species:S:1:pos:R:3 pbc="T T T"
Ba 0.1242 1.3530 1.7081
Ba 4.2566 4.0589 6.4480
Ba 4.5050 1.3530 3.0317
Ba 8.6374 4.0589 7.7715
La 1.3356 1.3530 5.5496
La 3.0452 4.0589 0.8098
La 5.7164 1.3530 8.6699
La 7.4260 4.0589 3.9301
Tl 1.8713 4.0589 3.8037
Tl 2.5095 1.3530 8.5436
Tl 6.2521 4.0589 0.9361
Tl 6.8903 1.3530 5.6759
```

Total magnetic moment = 0.00 Bohr magnetons per cell
Volume = 37.5 Å³/atom
Energy of formation = -12.180 kcal/mol of atoms
Uncorrected energy = -52.199 eV per atom
DOS at the Fermi energy = 0.18 states/eV per atom

=====

A PBEsol-optimized structure of BaLaTl, computed with meta-GGA SCAN.

```
3
Lattice="-1.8851 2.3527 6.0492 1.8851 -2.3527 6.0492 1.8851 2.3527 -6.0492" Properties=species:S:1:pos:R:3 pbc="T T T"
Ba 0.0000 0.0000 0.0000
La 0.0000 0.0000 8.7504
Tl 0.0000 0.0000 4.0775
```

Total magnetic moment = 0.00 Bohr magnetons per cell
Volume = 35.8 Å³/atom
Energy of formation = -7.653 kcal/mol of atoms
Uncorrected energy = -52.003 eV per atom
DOS at the Fermi energy = 0.74 states/eV per atom

=====

A PBEsol-optimized structure of BaLaTl2, computed with meta-GGA SCAN.

```
4
Lattice="1.9931 1.1507 10.2872 -1.9931 1.1507 10.2872 0.0000 -2.3014 10.2872" Properties=species:S:1:pos:R:3 pbc="T T T"
Ba 0.0000 0.0000 0.0000
La 0.0000 0.0000 15.4308
Tl 0.0000 0.0000 7.5769
Tl 0.0000 0.0000 23.2846
```

Total magnetic moment = 0.00 Bohr magnetons per cell
Volume = 35.4 Å³/atom
Energy of formation = -8.606 kcal/mol of atoms
Uncorrected energy = -57.216 eV per atom
DOS at the Fermi energy = 0.96 states/eV per atom

=====

A PBEsol-optimized structure of BaLaTl2, computed with meta-GGA SCAN.

```
4
Lattice="3.9373 0.0000 0.0000 0.0000 5.5152 0.0000 0.0000 0.0000 5.9160" Properties=species:S:1:pos:R:3 pbc="T T T"
Ba 0.0000 0.0000 0.0000
La 0.0000 2.7576 2.4181
Tl 1.9686 0.0000 2.9888
Tl 1.9686 2.7576 5.1756
```

Total magnetic moment = 0.02 Bohr magnetons per cell
Volume = 32.1 Å³/atom
Energy of formation = -12.733 kcal/mol of atoms
Uncorrected energy = -57.395 eV per atom
DOS at the Fermi energy = 0.72 states/eV per atom

=====

A PBEsol-optimized structure of Ba2LaTl, computed with meta-GGA SCAN.

```
4
Lattice="4.1002 0.0000 0.0000 0.0000 4.1002 0.0000 0.0000 0.0000 9.8824" Properties=species:S:1:pos:R:3 pbc="T T T"
Ba 0.0000 0.0000 0.0000
Ba 2.0501 2.0501 3.4268
La 0.0000 0.0000 6.0878
Tl 2.0501 2.0501 7.6967
```

Total magnetic moment = 1.05 Bohr magnetons per cell
Volume = 41.5 Å³/atom
Energy of formation = -6.380 kcal/mol of atoms
Uncorrected energy = -48.918 eV per atom
DOS at the Fermi energy = 0.98 states/eV per atom

=====

A PBEsol-optimized structure of BaLaW2, computed with meta-GGA SCAN.

```
4
Lattice="3.2914 0.0000 0.0000 0.0000 4.9049 0.0000 0.0000 0.0000 5.4924" Properties=species:S:1:pos:R:3 pbc="T T T"
Ba 0.0000 0.0000 0.0000
La 1.6457 2.4525 0.0000
W 0.0000 2.4525 2.7462
W 1.6457 0.0000 2.7462
```

Total magnetic moment = 0.00 Bohr magnetons per cell
Volume = 22.2 Å³/atom
Energy of formation = 36.572 kcal/mol of atoms
Uncorrected energy = -53.922 eV per atom
DOS at the Fermi energy = 1.19 states/eV per atom

=====

A PBEsol-optimized structure of BaLa4W, computed with meta-GGA SCAN.

```
6
Lattice="0.0000 4.4850 4.4850 4.4850 0.0000 4.4850 4.4850 4.4850 0.0000" Properties=species:S:1:pos:R:3 pbc="T T T"
Ba 0.0000 0.0000 0.0000
La 3.3920 3.3920 3.3920
La 5.5780 5.5780 3.3920
La 5.5780 3.3920 5.5780
La 3.3920 5.5780 5.5780
W 6.7275 6.7275 6.7275
```

Total magnetic moment = 0.59 Bohr magnetons per cell
Volume = 30.1 Å³/atom
Energy of formation = 22.768 kcal/mol of atoms
Uncorrected energy = -45.956 eV per atom
DOS at the Fermi energy = 1.38 states/eV per atom

=====

A PBEsol-optimized structure of Ba2LaY, computed with meta-GGA SCAN.

```
4
Lattice="5.3911 0.0000 0.0000 0.0000 5.3911 0.0000 0.0000 0.0000 5.6218" Properties=species:S:1:pos:R:3 pbc="T T T"
Ba 0.0000 2.6955 0.0000
Ba 2.6955 0.0000 0.0000
La 0.0000 0.0000 2.8109
Y 2.6955 2.6955 2.8109
```

Total magnetic moment = 0.04 Bohr magnetons per cell
Volume = 40.8 Å³/atom
Energy of formation = 7.078 kcal/mol of atoms
Uncorrected energy = -37.205 eV per atom
DOS at the Fermi energy = 1.72 states/eV per atom